MgMnTeO6 | PBE with a Hubbard U | optimized geometry

Cell and atoms, written as POSCAR:
```
MgMnTeO6
1.0
-4.256 -0.770 -2.592
4.468 -0.509 -2.281
0.183 -8.906 2.345
O Mg Te Mn
12 2 2 2
direct
0.003 0.358 0.635
0.358 0.003 0.135
0.642 0.645 0.635
0.003 0.645 0.865
0.645 0.642 0.135
0.642 0.997 0.865
0.358 0.355 0.365
0.355 0.997 0.635
0.355 0.358 0.865
0.645 0.003 0.365
0.997 0.642 0.365
0.997 0.355 0.135
0.000 0.000 0.000
0.000 0.000 0.500
0.333 0.667 0.250
0.667 0.333 0.750
0.667 0.333 0.250
0.333 0.667 0.750
```

Calculated volume, Å³/cell: 202.8
Uncorrected energy, eV/cell: -111.40
Magnetization, μB/cell: 5.93